# Hg5H3I12 PBE relaxed
data_Hg5H3I12
_chemical_formula_sum 'Hg20 H12 I48'
_space_group_name_H-M_alt 'P 1'
_space_group_IT_number 1
_space_group_name_Hall 'P 1'
_cell_length_a 15.673
_cell_length_b 15.673
_cell_length_c 15.673
_cell_angle_alpha 109.47
_cell_angle_beta 109.47
_cell_angle_gamma 109.47
loop_
_atom_site_label
_atom_site_type_symbol
_atom_site_fract_x
_atom_site_fract_y
_atom_site_fract_z
Hg1 Hg 0.000 0.000 0.000
Hg2 Hg 0.000 0.000 0.500
Hg3 Hg 0.000 0.500 0.000
Hg4 Hg 0.000 0.500 0.500
Hg5 Hg 0.125 0.750 0.875
Hg6 Hg 0.125 0.875 0.250
Hg7 Hg 0.250 0.125 0.875
Hg8 Hg 0.250 0.625 0.375
Hg9 Hg 0.375 0.250 0.625
Hg10 Hg 0.375 0.625 0.750
Hg11 Hg 0.500 0.000 0.000
Hg12 Hg 0.500 0.000 0.500
Hg13 Hg 0.500 0.500 0.000
Hg14 Hg 0.500 0.500 0.500
Hg15 Hg 0.625 0.375 0.250
Hg16 Hg 0.625 0.750 0.375
Hg17 Hg 0.750 0.375 0.625
Hg18 Hg 0.750 0.875 0.125
Hg19 Hg 0.875 0.125 0.750
Hg20 Hg 0.875 0.250 0.125
H1 H 0.125 0.250 0.375
H2 H 0.125 0.375 0.750
H3 H 0.250 0.375 0.125
H4 H 0.250 0.875 0.625
H5 H 0.375 0.125 0.250
H6 H 0.375 0.750 0.125
H7 H 0.625 0.250 0.875
H8 H 0.625 0.875 0.750
H9 H 0.750 0.125 0.375
H10 H 0.750 0.625 0.875
H11 H 0.875 0.625 0.250
H12 H 0.875 0.750 0.625
I1 I 0.003 0.136 0.187
I2 I 0.003 0.366 0.816
I3 I 0.051 0.187 0.684
I4 I 0.051 0.364 0.366
I5 I 0.134 0.136 0.449
I6 I 0.134 0.497 0.684
I7 I 0.136 0.187 0.003
I8 I 0.136 0.449 0.134
I9 I 0.184 0.687 0.551
I10 I 0.184 0.997 0.634
I11 I 0.187 0.003 0.136
I12 I 0.187 0.684 0.051
I13 I 0.313 0.364 0.497
I14 I 0.313 0.449 0.816
I15 I 0.316 0.866 0.503
I16 I 0.316 0.949 0.813
I17 I 0.364 0.366 0.051
I18 I 0.364 0.497 0.313
I19 I 0.366 0.051 0.364
I20 I 0.366 0.816 0.003
I21 I 0.449 0.134 0.136
I22 I 0.449 0.816 0.313
I23 I 0.497 0.313 0.364
I24 I 0.497 0.684 0.134
I25 I 0.503 0.316 0.866
I26 I 0.503 0.687 0.636
I27 I 0.551 0.184 0.687
I28 I 0.551 0.866 0.864
I29 I 0.634 0.184 0.997
I30 I 0.634 0.949 0.636
I31 I 0.636 0.503 0.687
I32 I 0.636 0.634 0.949
I33 I 0.684 0.051 0.187
I34 I 0.684 0.134 0.497
I35 I 0.687 0.551 0.184
I36 I 0.687 0.636 0.503
I37 I 0.813 0.316 0.949
I38 I 0.813 0.997 0.864
I39 I 0.816 0.003 0.366
I40 I 0.816 0.313 0.449
I41 I 0.864 0.551 0.866
I42 I 0.864 0.813 0.997
I43 I 0.866 0.503 0.316
I44 I 0.866 0.864 0.551
I45 I 0.949 0.636 0.634
I46 I 0.949 0.813 0.316
I47 I 0.997 0.634 0.184
I48 I 0.997 0.864 0.813
# E   -0.0471 hartree per atom
# Magnetization   0.000 μB per formula unit
# Volume   37.0 A^3/atom